This record from Alexandria describes a relaxed structure of Na2CePuN4. The functional is PBE.

a b c (Å): 5.9528 3.5618 6.0488
angles (deg): 90.00 108.80 90.00
Last column: nearest neighbours and their distance in Å.
Positions (direct):
Na 0.0000 0.0000 0.0000  6 N 2.62-2.66
Na 0.0000 0.5000 0.5000  6 N 2.73-2.85
Ce 0.5000 0.0000 0.5000  6 N 2.30-2.41
Pu 0.5000 0.5000 0.0000  2 N 2.04
N 0.3122 0.0000 0.7786  2 Pu 2.29, 1 Ce 2.30
N 0.3189 0.5000 0.2350  1 Pu 2.04
N 0.6811 0.5000 0.7650  1 Pu 2.04
N 0.6878 0.0000 0.2214  2 Pu 2.29, 1 Ce 2.30

## Properties
Formation energy (no corrections) (meV/atom): -820
M_tot (Bohr magnetons per cell): 2.0